The following is a DFT calculation (PBE) of a relaxed Er8CSe3S3 crystal.

POSCAR file:
```
Er8CSe3S3
1.0
3.875 2.237 6.512
-3.875 2.237 6.512
0.000 -4.475 6.512
Er C Se S
8 1 3 3
Direct
0.242 0.242 0.242 Er
0.265 0.724 0.724 Er
0.276 0.276 0.735 Er
0.276 0.735 0.276 Er
0.724 0.265 0.724 Er
0.724 0.724 0.265 Er
0.735 0.276 0.276 Er
0.758 0.758 0.758 Er
0.500 0.500 0.500 C
0.000 0.500 0.500 Se
0.500 0.000 0.500 Se
0.500 0.500 0.000 Se
0.000 0.000 0.500 S
0.000 0.500 0.000 S
0.500 0.000 0.000 S
```

The following is a DFT calculation (PBE) of a relaxed Er6CSe3S2 crystal.

POSCAR file:
```
Er6CSe3S2
1.0
3.360 -5.809 0.000
3.360 5.809 0.000
-2.227 0.000 6.519
Er C Se S
6 1 3 2
Direct
0.071 0.378 0.213 Er
0.234 0.234 0.783 Er
0.378 0.071 0.213 Er
0.622 0.929 0.787 Er
0.766 0.766 0.217 Er
0.929 0.622 0.787 Er
0.000 0.000 0.000 C
0.173 0.827 0.500 Se
0.500 0.500 0.500 Se
0.827 0.173 0.500 Se
0.334 0.666 0.000 S
0.666 0.334 0.000 S
```

The following is a DFT calculation (PBE) of a relaxed Er4SiCS2 crystal.

POSCAR file:
```
Er4SiCS2
1.0
-2.730 2.730 5.526
2.730 -2.730 5.526
2.730 2.730 -5.526
Er Si C S
4 1 1 2
Direct
0.000 0.500 0.500 Er
0.223 0.223 0.000 Er
0.500 0.000 0.500 Er
0.777 0.777 0.000 Er
0.750 0.250 0.500 Si
0.000 0.000 0.000 C
0.250 0.750 0.500 S
0.500 0.500 0.000 S
```

The following is a DFT calculation (PBE) of a relaxed Er6SiC2S3 crystal.

POSCAR file:
```
Er6SiC2S3
1.0
8.394 -1.867 0.000
8.394 1.867 0.000
-1.898 0.000 7.590
Er Si C S
6 1 2 3
Direct
0.015 0.015 0.262 Er
0.323 0.323 0.437 Er
0.330 0.330 0.880 Er
0.670 0.670 0.120 Er
0.677 0.677 0.563 Er
0.985 0.985 0.738 Er
0.500 0.500 0.000 Si
0.171 0.171 0.341 C
0.829 0.829 0.659 C
0.164 0.164 0.831 S
0.500 0.500 0.500 S
0.836 0.836 0.169 S
```

The following is a DFT calculation (PBE) of a relaxed TbErCS crystal.

POSCAR file:
```
TbErCS
1.0
3.770 0.000 0.000
0.000 3.770 0.000
0.000 0.000 5.284
Tb Er C S
1 1 1 1
Direct
0.000 0.000 0.000 Tb
0.500 0.500 0.500 Er
0.000 0.000 0.500 C
0.500 0.500 0.000 S
```

The following is a DFT calculation (PBE) of a relaxed Er3TeCS crystal.

POSCAR file:
```
Er3TeCS
1.0
3.312 -6.681 0.000
3.312 6.681 0.000
-1.574 0.000 6.294
Er Te C S
6 2 2 2
Direct
0.169 0.271 0.992 Er
0.226 0.774 0.750 Er
0.271 0.169 0.492 Er
0.729 0.831 0.508 Er
0.774 0.226 0.250 Er
0.831 0.729 0.008 Er
0.252 0.748 0.250 Te
0.748 0.252 0.750 Te
0.054 0.946 0.750 C
0.946 0.054 0.250 C
0.432 0.568 0.750 S
0.568 0.432 0.250 S
```

The following is a DFT calculation (PBE) of a relaxed Er4TeCS2 crystal.

POSCAR file:
```
Er4TeCS2
1.0
6.694 0.000 0.000
0.000 3.861 0.000
-2.387 0.000 6.695
Er Te C S
4 1 1 2
Direct
0.228 0.000 0.210 Er
0.242 0.500 0.802 Er
0.758 0.500 0.198 Er
0.772 0.000 0.790 Er
0.000 0.000 0.500 Te
0.000 0.500 0.000 C
0.500 0.000 0.000 S
0.500 0.500 0.500 S
```

The following is a DFT calculation (PBE) of a relaxed Er6Te3CS2 crystal.

POSCAR file:
```
Er6Te3CS2
1.0
3.438 -5.949 0.000
3.438 5.949 0.000
-2.281 0.000 6.889
Er Te C S
6 3 1 2
Direct
0.065 0.371 0.196 Er
0.238 0.238 0.799 Er
0.371 0.065 0.196 Er
0.629 0.935 0.804 Er
0.762 0.762 0.201 Er
0.935 0.629 0.804 Er
0.174 0.826 0.500 Te
0.500 0.500 0.500 Te
0.826 0.174 0.500 Te
0.000 0.000 0.000 C
0.334 0.666 0.000 S
0.666 0.334 0.000 S
```

The following is a DFT calculation (PBE) of a relaxed Er8Te4C3S crystal.

POSCAR file:
```
Er8Te4C3S
1.0
3.869 2.233 6.907
-3.869 2.233 6.907
0.000 -4.467 6.907
Er Te C S
8 4 3 1
Direct
0.208 0.742 0.742 Er
0.230 0.230 0.230 Er
0.258 0.258 0.792 Er
0.258 0.792 0.258 Er
0.742 0.208 0.742 Er
0.742 0.742 0.208 Er
0.770 0.770 0.770 Er
0.792 0.258 0.258 Er
0.000 0.000 0.000 Te
0.000 0.500 0.500 Te
0.500 0.000 0.500 Te
0.500 0.500 0.000 Te
0.000 0.000 0.500 C
0.000 0.500 0.000 C
0.500 0.000 0.000 C
0.500 0.500 0.500 S
```

The following is a DFT calculation (PBE) of a relaxed Er4Te2CS crystal.

POSCAR file:
```
Er4Te2CS
1.0
6.846 0.000 0.000
0.000 3.904 0.000
-2.253 0.000 6.909
Er Te C S
4 2 1 1
Direct
0.209 0.000 0.193 Er
0.240 0.500 0.803 Er
0.760 0.500 0.197 Er
0.791 0.000 0.807 Er
0.000 0.000 0.500 Te
0.500 0.500 0.500 Te
0.000 0.500 0.000 C
0.500 0.000 0.000 S
```

The following is a DFT calculation (PBE) of a relaxed Er8Te3CS3 crystal.

POSCAR file:
```
Er8Te3CS3
1.0
6.837 -3.941 0.000
6.837 3.941 0.000
-4.559 0.000 6.947
Er Te C S
8 3 1 3
Direct
0.216 0.216 0.693 Er
0.216 0.761 0.693 Er
0.239 0.784 0.307 Er
0.267 0.267 0.301 Er
0.733 0.733 0.699 Er
0.761 0.216 0.693 Er
0.784 0.239 0.307 Er
0.784 0.784 0.307 Er
0.000 0.000 0.000 Te
0.000 0.500 0.000 Te
0.500 0.000 0.000 Te
0.000 0.000 0.500 C
0.000 0.500 0.500 S
0.500 0.000 0.500 S
0.500 0.500 0.500 S
```

The following is a DFT calculation (PBE) of a relaxed Er6TeC3S2 crystal.

POSCAR file:
```
Er6TeC3S2
1.0
8.460 -1.861 0.000
8.460 1.861 0.000
-2.285 0.000 7.461
Er Te C S
6 1 3 2
Direct
0.012 0.012 0.214 Er
0.319 0.319 0.437 Er
0.340 0.340 0.896 Er
0.660 0.660 0.104 Er
0.681 0.681 0.563 Er
0.988 0.988 0.786 Er
0.500 0.500 0.500 Te
0.168 0.168 0.329 C
0.500 0.500 0.000 C
0.832 0.832 0.671 C
0.167 0.167 0.834 S
0.833 0.833 0.166 S
```

The following is a DFT calculation (PBE) of a relaxed Er6TeC2S3 crystal.

POSCAR file:
```
Er6TeC2S3
1.0
8.430 -1.897 0.000
8.430 1.897 0.000
-1.645 0.000 7.723
Er Te C S
6 1 2 3
Direct
0.025 0.025 0.287 Er
0.321 0.321 0.865 Er
0.323 0.323 0.433 Er
0.677 0.677 0.567 Er
0.679 0.679 0.135 Er
0.975 0.975 0.713 Er
0.500 0.500 0.000 Te
0.172 0.172 0.342 C
0.828 0.828 0.658 C
0.161 0.161 0.836 S
0.500 0.500 0.500 S
0.839 0.839 0.164 S
```

The following is a DFT calculation (PBE) of a relaxed Er6Te3C2S crystal.

POSCAR file:
```
Er6Te3C2S
1.0
3.362 -5.825 0.000
3.362 5.825 0.000
-2.239 0.000 6.914
Er Te C S
6 3 2 1
Direct
0.076 0.435 0.805 Er
0.205 0.205 0.191 Er
0.435 0.076 0.805 Er
0.565 0.924 0.195 Er
0.795 0.795 0.809 Er
0.924 0.565 0.195 Er
0.000 0.000 0.500 Te
0.340 0.660 0.500 Te
0.660 0.340 0.500 Te
0.167 0.833 0.000 C
0.833 0.167 0.000 C
0.500 0.500 0.000 S
```

The following is a DFT calculation (PBE) of a relaxed Er8Tl3CS3 crystal.

POSCAR file:
```
Er8Tl3CS3
1.0
6.542 -3.781 0.000
6.542 3.781 0.000
-4.363 0.000 7.726
Er Tl C S
8 3 1 3
Direct
0.213 0.213 0.687 Er
0.213 0.761 0.688 Er
0.239 0.787 0.312 Er
0.266 0.266 0.299 Er
0.734 0.734 0.701 Er
0.761 0.213 0.688 Er
0.787 0.239 0.312 Er
0.787 0.787 0.313 Er
0.000 0.000 0.000 Tl
0.000 0.500 0.000 Tl
0.500 0.000 0.000 Tl
0.000 0.000 0.500 C
0.000 0.500 0.500 S
0.500 0.000 0.500 S
0.500 0.500 0.500 S
```

The following is a DFT calculation (PBE) of a relaxed ErUCS crystal.

POSCAR file:
```
ErUCS
1.0
1.820 1.051 6.290
-1.820 1.051 6.290
0.000 -2.102 6.290
Er U C S
1 1 1 1
Direct
0.000 0.000 0.000 Er
0.522 0.522 0.522 U
0.255 0.255 0.255 C
0.759 0.759 0.759 S
```

The following is a DFT calculation (PBE) of a relaxed ErZrCS crystal.

POSCAR file:
```
ErZrCS
1.0
1.755 1.013 6.337
-1.755 1.013 6.337
0.000 -2.026 6.337
Er Zr C S
1 1 1 1
Direct
0.000 0.000 0.000 Er
0.197 0.197 0.197 Zr
0.591 0.591 0.591 C
0.769 0.769 0.769 S
```

The following is a DFT calculation (PBE) of a relaxed Er2SbC crystal.

POSCAR file:
```
Er2SbC
1.0
1.819 1.050 7.481
-1.819 1.050 7.481
0.000 -2.100 7.481
Er Sb C
2 1 1
Direct
0.225 0.225 0.225 Er
0.775 0.775 0.775 Er
0.000 0.000 0.000 Sb
0.500 0.500 0.500 C
```

The following is a DFT calculation (PBE) of a relaxed Er6Sb2C crystal.

POSCAR file:
```
Er6Sb2C
1.0
6.352 0.000 0.000
0.000 7.765 0.000
-6.018 0.000 9.542
Er Sb C
12 4 2
Direct
0.132 0.164 0.459 Er
0.132 0.336 0.959 Er
0.317 0.710 0.455 Er
0.317 0.790 0.955 Er
0.360 0.025 0.251 Er
0.360 0.475 0.751 Er
0.640 0.525 0.249 Er
0.640 0.975 0.749 Er
0.683 0.210 0.045 Er
0.683 0.290 0.545 Er
0.868 0.664 0.041 Er
0.868 0.836 0.541 Er
0.181 0.108 0.757 Sb
0.181 0.392 0.257 Sb
0.819 0.608 0.743 Sb
0.819 0.892 0.243 Sb
0.500 0.000 0.500 C
0.500 0.500 0.000 C
```

The following is a DFT calculation (PBE) of a relaxed Er7SbC2 crystal.

POSCAR file:
```
Er7SbC2
1.0
4.314 -6.114 0.000
4.314 6.114 0.000
0.000 0.000 4.717
Er Sb C
7 1 2
Direct
0.000 0.000 0.000 Er
0.174 0.445 0.000 Er
0.207 0.793 0.500 Er
0.445 0.174 0.000 Er
0.555 0.826 0.000 Er
0.793 0.207 0.500 Er
0.826 0.555 0.000 Er
0.500 0.500 0.500 Sb
0.210 0.790 0.000 C
0.790 0.210 0.000 C
```

The following is a DFT calculation (PBE) of a relaxed Er6Sb3C crystal.

POSCAR file:
```
Er6Sb3C
1.0
5.885 -6.958 0.000
5.885 6.958 0.000
0.000 0.000 7.064
Er Sb C
12 6 2
Direct
0.041 0.959 0.500 Er
0.104 0.594 0.516 Er
0.225 0.775 0.965 Er
0.307 0.378 0.981 Er
0.378 0.307 0.481 Er
0.406 0.896 0.516 Er
0.594 0.104 0.016 Er
0.622 0.693 0.981 Er
0.693 0.622 0.481 Er
0.775 0.225 0.465 Er
0.896 0.406 0.016 Er
0.959 0.041 0.000 Er
0.075 0.277 0.689 Sb
0.277 0.075 0.189 Sb
0.389 0.611 0.285 Sb
0.611 0.389 0.785 Sb
0.723 0.925 0.689 Sb
0.925 0.723 0.189 Sb
0.183 0.817 0.656 C
0.817 0.183 0.156 C
```

| no. | E (eV per atom) |
| --- | --- |
| 1 | -6.1318 |
| 2 | -6.2789 |
| 3 | -6.3850 |
| 4 | -6.5907 |
| 5 | -6.7069 |
| 6 | -6.1943 |
| 7 | -6.2299 |
| 8 | -5.9341 |
| 9 | -6.1380 |
| 10 | -6.0200 |
| 11 | -5.8407 |
| 12 | -6.6663 |
| 13 | -6.4786 |
| 14 | -6.1133 |
| 15 | -5.3136 |
| 16 | -8.3239 |
| 17 | -7.8785 |
| 18 | -6.2949 |
| 19 | -5.5782 |
| 20 | -5.5177 |
| 21 | -5.4699 |